# Ce3BeCrS7 | the Alexandria database | PBE-GGA | optimized geometry
data_Ce3BeCrS7
_chemical_formula_sum 'Ce6 Be2 Cr2 S14'
_symmetry_space_group_name_H-M 'P 63'
_symmetry_Int_Tables_number 173
_symmetry_space_group_name_Hall 'P 6c'
_cell_length_a 9.8963
_cell_length_b 9.8963
_cell_length_c 5.8731
_cell_angle_alpha 90.00
_cell_angle_beta 90.00
_cell_angle_gamma 120.00
loop_
_atom_site_label
_atom_site_fract_x
_atom_site_fract_y
_atom_site_fract_z
_atom_site_occupancy
Ce1 0.1431 0.7594 0.0000 1
Be1 0.3333 0.6667 0.5904 1
Cr1 0.0000 0.0000 0.2115 1
S1 0.0866 0.8574 0.4604 1
S2 0.1058 0.5207 0.7209 1
S3 0.3333 0.6667 0.2339 1
# Formation energy without anion corrections in eV/atom: -1.565

=====

# CsCeBe2F8 | the Alexandria database | PBE-GGA | optimized geometry
data_CsCeBe2F8
_chemical_formula_sum 'Cs3 Ce3 Be6 F24'
_symmetry_space_group_name_H-M 'R -3'
_symmetry_Int_Tables_number 148
_symmetry_space_group_name_Hall '-R 3'
_cell_length_a 5.2946
_cell_length_b 5.2946
_cell_length_c 25.6954
_cell_angle_alpha 90.00
_cell_angle_beta 90.00
_cell_angle_gamma 120.00
loop_
_atom_site_label
_atom_site_fract_x
_atom_site_fract_y
_atom_site_fract_z
_atom_site_occupancy
Cs1 0.0000 0.0000 0.0000 1
Ce1 0.0000 0.0000 0.5000 1
Be1 0.0000 0.0000 0.2444 1
F1 0.0000 0.0000 0.3023 1
F2 0.0156 0.2854 0.2203 1
# Formation energy without anion corrections in eV/atom: -3.445

=====

# CsCeBeS3 | the Alexandria database | PBE-GGA | optimized geometry
data_CsCeBeS3
_chemical_formula_sum 'Cs2 Ce2 Be2 S6'
_symmetry_space_group_name_H-M 'P 1 21/m 1'
_symmetry_Int_Tables_number 11
_symmetry_space_group_name_Hall '-P 2yb'
_cell_length_a 9.536
_cell_length_b 4.028
_cell_length_c 9.698
_cell_angle_alpha 90.00
_cell_angle_beta 110.20
_cell_angle_gamma 90.00
loop_
_atom_site_label
_atom_site_fract_x
_atom_site_fract_y
_atom_site_fract_z
_atom_site_occupancy
Cs1 0.239 0.250 0.204 1
Ce1 0.155 0.250 0.667 1
Be1 0.394 0.750 0.927 1
S1 0.158 0.750 0.466 1
S2 0.166 0.750 0.877 1
S3 0.468 0.250 0.851 1
# Formation energy without anion corrections in eV/atom: -1.477

=====

# Cs4Ce3BeSe8 | the Alexandria database | PBE-GGA | optimized geometry
data_Cs4Ce3BeSe8
_chemical_formula_sum 'Cs8 Ce6 Be2 Se16'
_symmetry_space_group_name_H-M 'C 1 2/m 1'
_symmetry_Int_Tables_number 12
_symmetry_space_group_name_Hall '-C 2y'
_cell_length_a 15.221
_cell_length_b 8.468
_cell_length_c 9.706
_cell_angle_alpha 90.00
_cell_angle_beta 120.73
_cell_angle_gamma 90.00
loop_
_atom_site_label
_atom_site_fract_x
_atom_site_fract_y
_atom_site_fract_z
_atom_site_occupancy
Cs1 0.000 0.000 0.000 1
Cs2 0.000 0.500 0.000 1
Cs3 0.250 0.250 0.000 1
Ce1 0.000 0.000 0.500 1
Ce2 0.250 0.250 0.500 1
Be1 0.000 0.500 0.500 1
Se1 0.022 0.282 0.336 1
Se2 0.228 0.000 0.691 1
Se3 0.245 0.500 0.699 1
# Formation energy without anion corrections in eV/atom: -1.360

=====

# CsCeBeSe3 | the Alexandria database | PBE-GGA | optimized geometry
data_CsCeBeSe3
_chemical_formula_sum 'Cs2 Ce2 Be2 Se6'
_symmetry_space_group_name_H-M 'P 1 21/m 1'
_symmetry_Int_Tables_number 11
_symmetry_space_group_name_Hall '-P 2yb'
_cell_length_a 9.972
_cell_length_b 4.173
_cell_length_c 10.054
_cell_angle_alpha 90.00
_cell_angle_beta 110.43
_cell_angle_gamma 90.00
loop_
_atom_site_label
_atom_site_fract_x
_atom_site_fract_y
_atom_site_fract_z
_atom_site_occupancy
Cs1 0.240 0.250 0.206 1
Ce1 0.152 0.250 0.669 1
Be1 0.393 0.750 0.925 1
Se1 0.161 0.750 0.882 1
Se2 0.162 0.750 0.467 1
Se3 0.468 0.250 0.844 1
# Formation energy without anion corrections in eV/atom: -1.340

=====

# CeBe6Cu6 | the Alexandria database | PBE-GGA | optimized geometry
data_CeBe6Cu6
_chemical_formula_sum 'Ce2 Be12 Cu12'
_symmetry_space_group_name_H-M 'I m m m'
_symmetry_Int_Tables_number 71
_symmetry_space_group_name_Hall '-I 2 2'
_cell_length_a 4.454
_cell_length_b 8.177
_cell_length_c 8.232
_cell_angle_alpha 90.00
_cell_angle_beta 90.00
_cell_angle_gamma 90.00
loop_
_atom_site_label
_atom_site_fract_x
_atom_site_fract_y
_atom_site_fract_z
_atom_site_occupancy
Ce1 0.000 0.000 0.000 1
Be1 0.000 0.255 0.500 1
Be2 0.250 0.250 0.250 1
Cu1 0.000 0.000 0.353 1
Cu2 0.000 0.348 0.000 1
Cu3 0.000 0.500 0.287 1
# Formation enthalpy at 0 K in eV/atom: -0.0691

=====

# CeBeCu | the Alexandria database | PBE-GGA | optimized geometry
data_CeBeCu
_chemical_formula_sum 'Ce2 Be2 Cu2'
_symmetry_space_group_name_H-M 'P 1 21/m 1'
_symmetry_Int_Tables_number 11
_symmetry_space_group_name_Hall '-P 2yb'
_cell_length_a 3.975
_cell_length_b 4.020
_cell_length_c 6.282
_cell_angle_alpha 90.00
_cell_angle_beta 98.82
_cell_angle_gamma 90.00
loop_
_atom_site_label
_atom_site_fract_x
_atom_site_fract_y
_atom_site_fract_z
_atom_site_occupancy
Ce1 0.173 0.250 0.130 1
Be1 0.275 0.250 0.674 1
Cu1 0.267 0.750 0.501 1
# Formation enthalpy at 0 K in eV/atom: -0.0230

=====

# CeBeCu5 | the Alexandria database | PBE-GGA | optimized geometry
data_CeBeCu5
_chemical_formula_sum 'Ce4 Be4 Cu20'
_symmetry_space_group_name_H-M 'P n m a'
_symmetry_Int_Tables_number 62
_symmetry_space_group_name_Hall '-P 2ac 2n'
_cell_length_a 7.943
_cell_length_b 5.062
_cell_length_c 9.951
_cell_angle_alpha 90.00
_cell_angle_beta 90.00
_cell_angle_gamma 90.00
loop_
_atom_site_label
_atom_site_fract_x
_atom_site_fract_y
_atom_site_fract_z
_atom_site_occupancy
Ce1 0.241 0.250 0.063 1
Be1 0.157 0.750 0.859 1
Cu1 0.062 0.008 0.302 1
Cu2 0.071 0.750 0.084 1
Cu3 0.105 0.250 0.513 1
Cu4 0.181 0.250 0.763 1
# Formation enthalpy at 0 K in eV/atom: -0.0717

=====

# CeBeCu11 | the Alexandria database | PBE-GGA | optimized geometry
data_CeBeCu11
_chemical_formula_sum 'Ce2 Be2 Cu22'
_symmetry_space_group_name_H-M 'C 1 2/m 1'
_symmetry_Int_Tables_number 12
_symmetry_space_group_name_Hall '-C 2y'
_cell_length_a 4.787
_cell_length_b 11.826
_cell_length_c 6.445
_cell_angle_alpha 90.00
_cell_angle_beta 109.85
_cell_angle_gamma 90.00
loop_
_atom_site_label
_atom_site_fract_x
_atom_site_fract_y
_atom_site_fract_z
_atom_site_occupancy
Ce1 0.000 0.000 0.000 1
Be1 0.000 0.500 0.500 1
Cu1 0.000 0.000 0.500 1
Cu2 0.102 0.390 0.233 1
Cu3 0.171 0.176 0.357 1
Cu4 0.250 0.250 0.000 1
# Formation enthalpy at 0 K in eV/atom: -0.0609

=====

# CeBe2Cu10 | the Alexandria database | PBE-GGA | optimized geometry
data_CeBe2Cu10
_chemical_formula_sum 'Ce4 Be8 Cu40'
_symmetry_space_group_name_H-M 'F m m m'
_symmetry_Int_Tables_number 69
_symmetry_space_group_name_Hall '-F 2 2'
_cell_length_a 4.732
_cell_length_b 11.578
_cell_length_c 12.205
_cell_angle_alpha 90.00
_cell_angle_beta 90.00
_cell_angle_gamma 90.00
loop_
_atom_site_label
_atom_site_fract_x
_atom_site_fract_y
_atom_site_fract_z
_atom_site_occupancy
Ce1 0.000 0.000 0.000 1
Be1 0.250 0.000 0.250 1
Cu1 0.000 0.109 0.380 1
Cu2 0.000 0.172 0.180 1
Cu3 0.250 0.250 0.000 1
# Formation enthalpy at 0 K in eV/atom: -0.0710

=====

# Ce2BeGa4Cu3 | the Alexandria database | PBE-GGA | optimized geometry
data_Ce2BeGa4Cu3
_chemical_formula_sum 'Ce2 Be1 Ga4 Cu3'
_symmetry_space_group_name_H-M 'P -4 m 2'
_symmetry_Int_Tables_number 115
_symmetry_space_group_name_Hall 'P -4 -2'
_cell_length_a 4.172
_cell_length_b 4.172
_cell_length_c 9.997
_cell_angle_alpha 90.00
_cell_angle_beta 90.00
_cell_angle_gamma 90.00
loop_
_atom_site_label
_atom_site_fract_x
_atom_site_fract_y
_atom_site_fract_z
_atom_site_occupancy
Ce1 0.000 0.500 0.241 1
Be1 0.500 0.500 0.000 1
Ga1 0.000 0.000 0.500 1
Ga2 0.000 0.500 0.876 1
Ga3 0.500 0.500 0.500 1
Cu1 0.000 0.000 0.000 1
Cu2 0.000 0.500 0.635 1
# Formation enthalpy at 0 K in eV/atom: -0.3769

=====

# Ce2Be3CuGe4 | the Alexandria database | PBE-GGA | optimized geometry
data_Ce2Be3CuGe4
_chemical_formula_sum 'Ce2 Be3 Cu1 Ge4'
_symmetry_space_group_name_H-M 'P -4 m 2'
_symmetry_Int_Tables_number 115
_symmetry_space_group_name_Hall 'P -4 -2'
_cell_length_a 4.169
_cell_length_b 4.169
_cell_length_c 9.489
_cell_angle_alpha 90.00
_cell_angle_beta 90.00
_cell_angle_gamma 90.00
loop_
_atom_site_label
_atom_site_fract_x
_atom_site_fract_y
_atom_site_fract_z
_atom_site_occupancy
Ce1 0.000 0.500 0.250 1
Be1 0.000 0.000 0.000 1
Be2 0.000 0.500 0.624 1
Cu1 0.500 0.500 0.000 1
Ge1 0.000 0.000 0.500 1
Ge2 0.000 0.500 0.863 1
Ge3 0.500 0.500 0.500 1
# Formation enthalpy at 0 K in eV/atom: -0.4041

=====

# Ce2BeCu3Ge4 | the Alexandria database | PBE-GGA | optimized geometry
data_Ce2BeCu3Ge4
_chemical_formula_sum 'Ce2 Be1 Cu3 Ge4'
_symmetry_space_group_name_H-M 'P -4 m 2'
_symmetry_Int_Tables_number 115
_symmetry_space_group_name_Hall 'P -4 -2'
_cell_length_a 4.191
_cell_length_b 4.191
_cell_length_c 9.887
_cell_angle_alpha 90.00
_cell_angle_beta 90.00
_cell_angle_gamma 90.00
loop_
_atom_site_label
_atom_site_fract_x
_atom_site_fract_y
_atom_site_fract_z
_atom_site_occupancy
Ce1 0.000 0.500 0.244 1
Be1 0.500 0.500 0.000 1
Cu1 0.000 0.000 0.000 1
Cu2 0.000 0.500 0.631 1
Ge1 0.000 0.000 0.500 1
Ge2 0.000 0.500 0.872 1
Ge3 0.500 0.500 0.500 1
# Formation enthalpy at 0 K in eV/atom: -0.4494

=====

# CeBeCuGe2 | the Alexandria database | PBE-GGA | optimized geometry
data_CeBeCuGe2
_chemical_formula_sum 'Ce2 Be2 Cu2 Ge4'
_symmetry_space_group_name_H-M 'I -4 m 2'
_symmetry_Int_Tables_number 119
_symmetry_space_group_name_Hall 'I -4 -2'
_cell_length_a 4.068
_cell_length_b 4.068
_cell_length_c 10.288
_cell_angle_alpha 90.00
_cell_angle_beta 90.00
_cell_angle_gamma 90.00
loop_
_atom_site_label
_atom_site_fract_x
_atom_site_fract_y
_atom_site_fract_z
_atom_site_occupancy
Ce1 0.000 0.000 0.000 1
Be1 0.000 0.500 0.250 1
Cu1 0.000 0.500 0.750 1
Ge1 0.000 0.000 0.375 1
# Formation enthalpy at 0 K in eV/atom: -0.4120

=====

Below is a relaxed structure of CeBeCuH6, with properties calculated at the PBE-GGA level.

```
data_CeBeCuH6
_chemical_formula_sum 'Ce1 Be1 Cu1 H6'
_symmetry_space_group_name_H-M 'P -6 m 2'
_symmetry_Int_Tables_number 187
_symmetry_space_group_name_Hall 'P -6 2'
_cell_length_a 4.2541
_cell_length_b 4.2541
_cell_length_c 4.3830
_cell_angle_alpha 90.00
_cell_angle_beta 90.00
_cell_angle_gamma 120.00
loop_
_atom_site_label
_atom_site_fract_x
_atom_site_fract_y
_atom_site_fract_z
_atom_site_occupancy
Ce1 0.0000 0.0000 0.0000 1
Be1 0.6667 0.3333 0.5000 1
Cu1 0.3333 0.6667 0.5000 1
H1 0.5085 0.0171 0.2327 1
```

=====

# CeMgBeCu | the Alexandria database | PBE-GGA | optimized geometry
data_CeMgBeCu
_chemical_formula_sum 'Ce4 Mg4 Be4 Cu4'
_symmetry_space_group_name_H-M 'F -4 3 m'
_symmetry_Int_Tables_number 216
_symmetry_space_group_name_Hall 'F -4 2 3'
_cell_length_a 6.647
_cell_length_b 6.647
_cell_length_c 6.647
_cell_angle_alpha 90.00
_cell_angle_beta 90.00
_cell_angle_gamma 90.00
loop_
_atom_site_label
_atom_site_fract_x
_atom_site_fract_y
_atom_site_fract_z
_atom_site_occupancy
Ce1 0.000 0.000 0.000 1
Mg1 0.000 0.000 0.500 1
Be1 0.250 0.250 0.250 1
Cu1 0.250 0.250 0.750 1
# Formation enthalpy at 0 K in eV/atom: 0.0301

=====

# Ce2Be3Cu12Ni | the Alexandria database | PBE-GGA | optimized geometry
data_Ce2Be3Cu12Ni
_chemical_formula_sum 'Ce6 Be9 Cu36 Ni3'
_symmetry_space_group_name_H-M 'R -3 m'
_symmetry_Int_Tables_number 166
_symmetry_space_group_name_Hall '-R 3 2"'
_cell_length_a 7.9452
_cell_length_b 7.9452
_cell_length_c 15.0988
_cell_angle_alpha 90.00
_cell_angle_beta 90.00
_cell_angle_gamma 120.00
loop_
_atom_site_label
_atom_site_fract_x
_atom_site_fract_y
_atom_site_fract_z
_atom_site_occupancy
Ce1 0.0000 0.0000 0.0965 1
Be1 0.0000 0.5000 0.0000 1
Cu1 0.0012 0.5006 0.8645 1
Cu2 0.0572 0.5286 0.3133 1
Ni1 0.0000 0.0000 0.5000 1
# Formation enthalpy at 0 K in eV/atom: 0.3418

=====

# Ce2BeCuPt2 | the Alexandria database | PBE-GGA | optimized geometry
data_Ce2BeCuPt2
_chemical_formula_sum 'Ce8 Be4 Cu4 Pt8'
_symmetry_space_group_name_H-M 'I b a m'
_symmetry_Int_Tables_number 72
_symmetry_space_group_name_Hall '-I 2 2c'
_cell_length_a 5.846
_cell_length_b 13.978
_cell_length_c 5.663
_cell_angle_alpha 90.00
_cell_angle_beta 90.00
_cell_angle_gamma 90.00
loop_
_atom_site_label
_atom_site_fract_x
_atom_site_fract_y
_atom_site_fract_z
_atom_site_occupancy
Ce1 0.227 0.161 0.000 1
Be1 0.000 0.500 0.250 1
Cu1 0.000 0.000 0.250 1
Pt1 0.214 0.385 0.000 1
# Formation enthalpy at 0 K in eV/atom: -0.6701

=====

# Ce2Be3CuPt4 | the Alexandria database | PBE-GGA | optimized geometry
data_Ce2Be3CuPt4
_chemical_formula_sum 'Ce2 Be3 Cu1 Pt4'
_symmetry_space_group_name_H-M 'P -4 m 2'
_symmetry_Int_Tables_number 115
_symmetry_space_group_name_Hall 'P -4 -2'
_cell_length_a 4.027
_cell_length_b 4.027
_cell_length_c 10.092
_cell_angle_alpha 90.00
_cell_angle_beta 90.00
_cell_angle_gamma 90.00
loop_
_atom_site_label
_atom_site_fract_x
_atom_site_fract_y
_atom_site_fract_z
_atom_site_occupancy
Ce1 0.000 0.500 0.249 1
Be1 0.000 0.500 0.883 1
Be2 0.500 0.500 0.500 1
Cu1 0.000 0.000 0.500 1
Pt1 0.000 0.000 0.000 1
Pt2 0.000 0.500 0.650 1
Pt3 0.500 0.500 0.000 1
# Formation enthalpy at 0 K in eV/atom: -0.7728

=====

# CeBeCuSi2 | the Alexandria database | PBE-GGA | optimized geometry
data_CeBeCuSi2
_chemical_formula_sum 'Ce2 Be2 Cu2 Si4'
_symmetry_space_group_name_H-M 'I -4 m 2'
_symmetry_Int_Tables_number 119
_symmetry_space_group_name_Hall 'I -4 -2'
_cell_length_a 4.004
_cell_length_b 4.004
_cell_length_c 9.832
_cell_angle_alpha 90.00
_cell_angle_beta 90.00
_cell_angle_gamma 90.00
loop_
_atom_site_label
_atom_site_fract_x
_atom_site_fract_y
_atom_site_fract_z
_atom_site_occupancy
Ce1 0.000 0.000 0.000 1
Be1 0.000 0.500 0.250 1
Cu1 0.000 0.500 0.750 1
Si1 0.000 0.000 0.378 1
# Formation energy without anion corrections in eV/atom: -0.475

=====

Energy values (in eV/atom) by entry order: -6.57, -5.88, -5.29, -4.66, -4.83, -4.14, -4.61, -4.38, -4.27, -4.25, -4.38, -4.97, -5.08, -5.01, -3.91, -3.81, -3.99, -5.97, -5.90, -5.40.